[1]
First-principles (PBE-GGA) data for a geometry-optimized BaNb3Si structure, as listed in the Alexandria database.

Lattice parameters (Å, degrees): 5.0634 5.0634 5.0634 90.00 90.00 90.00
Closest atoms and distances in Å follow each position.
Space group Pm-3m (No. 221)
Symmetry-distinct sites (fractional):
Ba: 0.0000 0.0000 0.0000 x1  6 Nb 2.53
Nb: 0.0000 0.0000 0.5000 x3  2 Ba 2.53
Si: 0.5000 0.5000 0.5000 x1  12 Nb 3.58

Formation energy (no corrections) in kJ/mol of atoms: 261
Distance to the lowest polymorph of the same formula in eV/atom: 1.890
E in eV/atom: -4.80

---

[2]
First-principles (PBE-GGA) data for a geometry-optimized La5ErTl6 structure, as listed in the Alexandria database.

Lattice parameters (Å, degrees): 5.5856 7.8906 9.6481 114.12 106.32 90.02
Closest atoms and distances in Å follow each position.
Space group P-1 (No. 2)
Symmetry-distinct sites (fractional):
La: 0.0000 0.0000 0.0000 x1  8 Tl 3.39-3.52
La: 0.3242 0.3242 0.6480 x2  8 Tl 3.38-3.46
La: 0.3377 0.8373 0.6746 x2  8 Tl 3.46-3.51, 1 La 3.87
Er: 0.0000 0.5000 0.0000 x1  8 Tl 3.28-3.33
Tl: 0.1605 0.4220 0.3207 x2  1 Er 3.28, 7 La 3.38-3.51
Tl: 0.1605 0.8985 0.3203 x2  1 Er 3.28, 7 La 3.38-3.51
Tl: 0.4989 0.2710 0.9998 x2  2 Er 3.32-3.33, 6 La 3.46-3.52, 1 Tl 3.61

E in eV/atom: -4.02

---

[3]
First-principles (PBE-GGA) data for a geometry-optimized PIrBr2 structure, as listed in the Alexandria database.

Lattice parameters (Å, degrees): 3.3232 3.5905 15.5656 90.00 90.00 90.00
Closest atoms and distances in Å follow each position.
Space group Immm (No. 71)
Symmetry-distinct sites (fractional):
P: 0.0000 0.0000 0.0000 x2  4 Ir 2.45
Ir: 0.0000 0.0000 0.5000 x2  4 P 2.45
Br: 0.0000 0.5000 0.1526 x4  2 Ir 2.90, 2 P 2.98

Formation energy (no corrections) in kJ/mol of atoms: 41
Distance to the lowest polymorph of the same formula in eV/atom: 0.861
E in eV/atom: -3.98

---

E of number 3 (PIrBr2)?
-3.98 eV/atom